1.
Material: SmCuNiGe2
Method: DFT, PBE
State: optimized geometry

Unit cell a=5.785 b=5.785 c=5.785 alpha=138.21 beta=138.21 gamma=60.58
Fractional positions:
Sm 0.000 0.000 0.000
Cu 0.250 0.750 0.500
Ni 0.750 0.250 0.500
Ge 0.373 0.373 0.000
Ge 0.627 0.627 0.000

2.
Material: Sr2CuNi3Ge2
Method: DFT, PBE
State: optimized geometry

Unit cell a=4.154 b=4.154 c=10.493 alpha=90.00 beta=90.00 gamma=120.00
Fractional positions:
Sr 0.000 0.000 0.000
Sr 0.333 0.667 0.507
Cu 0.000 0.000 0.292
Ni 0.000 0.000 0.717
Ni 0.333 0.667 0.221
Ni 0.333 0.667 0.786
Ge 0.667 0.333 0.241
Ge 0.667 0.333 0.751

3.
Material: TaCuNiGe
Method: DFT, PBE
State: optimized geometry

* energy above the lowest structure with this stoichiometry: 0.035 eV per atom

Unit cell a=4.297 b=4.297 c=4.297 alpha=60.00 beta=60.00 gamma=60.00
Fractional positions:
Ta 0.000 0.000 0.000
Cu 0.750 0.750 0.750
Ni 0.500 0.500 0.500
Ge 0.250 0.250 0.250

4.
Material: TaCuNiGe
Method: DFT, PBE
State: optimized geometry

* energy above the lowest structure with this stoichiometry: 0.062 eV per atom

Unit cell a=4.288 b=4.288 c=4.288 alpha=60.00 beta=60.00 gamma=60.00
Fractional positions:
Ta 0.000 0.000 0.000
Cu 0.750 0.750 0.750
Ni 0.250 0.250 0.250
Ge 0.500 0.500 0.500

5.
Material: TaCuNiGe
Method: DFT, PBE
State: optimized geometry

* energy above the lowest structure with this stoichiometry: 0.000 eV per atom

Unit cell a=4.304 b=4.304 c=4.304 alpha=60.00 beta=60.00 gamma=60.00
Fractional positions:
Ta 0.000 0.000 0.000
Cu 0.500 0.500 0.500
Ni 0.750 0.750 0.750
Ge 0.250 0.250 0.250

6.
Material: ZnCu4NiGe2
Method: DFT, PBE
State: optimized geometry

Unit cell a=4.195 b=4.195 c=5.938 alpha=90.00 beta=90.00 gamma=90.00
Fractional positions:
Zn 0.000 0.000 0.000
Cu 0.000 0.500 0.256
Cu 0.000 0.500 0.744
Cu 0.500 0.000 0.256
Cu 0.500 0.000 0.744
Ni 0.500 0.500 0.500
Ge 0.000 0.000 0.500
Ge 0.500 0.500 0.000

7.
Material: ZnCuNiGe
Method: DFT, PBE
State: optimized geometry

* energy above the lowest structure with this stoichiometry: 0.000 eV per atom

Unit cell a=4.181 b=4.181 c=4.181 alpha=60.00 beta=60.00 gamma=60.00
Fractional positions:
Zn 0.000 0.000 0.000
Cu 0.250 0.250 0.250
Ni 0.750 0.750 0.750
Ge 0.500 0.500 0.500

8.
Material: CuGeOs2
Method: DFT, PBE
State: optimized geometry

Unit cell a=4.313 b=4.313 c=4.313 alpha=60.00 beta=60.00 gamma=60.00
Fractional positions:
Cu 0.000 0.000 0.000
Ge 0.750 0.750 0.750
Os 0.250 0.250 0.250
Os 0.500 0.500 0.500

Number 1: DFT total energy -26.3 eV/f.u.. Number 2: DFT total energy -36.1 eV/f.u.. Number 3: DFT total energy -25.6 eV/f.u.. Number 4: DFT total energy -25.5 eV/f.u.. Number 5: DFT total energy -25.8 eV/f.u.. Number 6: DFT total energy -30.6 eV/f.u.. Number 7: DFT total energy -15.5 eV/f.u.. Number 8: DFT total energy -28.7 eV/f.u..